# 1
Computed, not measured: an optimized crystal structure of BiPSe2 at the PBE level of DFT.

The structure in extended XYZ format:
```
4
Lattice="-3.488 3.547 7.666 0.083 3.926 8.252 -1.712 6.408 6.287" Properties=species:S:1:pos:R:3 pbc="T T T"
Se -4.554 12.351 19.759
Se -0.564 1.529 2.447
P -2.559 6.940 11.103
Bi 0.000 0.000 0.000
```

Values from the calculation:
E_form (uncorrected) ... 66 meV per atom
SG ... No. 166
Crystal system ... trigonal

# 2
Computed, not measured: an optimized crystal structure of SCl2O at the PBE level of DFT.

The structure in extended XYZ format:
```
16
Lattice="-0.317 6.123 0.996 -4.933 0.836 -6.708 -8.567 -1.098 4.024" Properties=species:S:1:pos:R:3 pbc="T T T"
O -12.204 4.597 -1.383
O -9.709 3.640 1.883
O -4.107 2.221 -3.570
O -1.613 1.264 -0.304
Cl -6.831 3.807 1.609
Cl -5.291 4.540 -2.285
Cl -6.985 2.054 -3.296
Cl -8.525 1.321 0.598
Cl -2.853 4.674 1.159
Cl -9.327 4.816 -1.649
Cl -4.489 1.046 -0.039
Cl -10.963 1.187 -2.846
S -11.163 5.456 -0.848
S -5.237 3.095 -3.823
S -8.579 2.766 2.136
S -2.653 0.406 -0.839
```

Values from the calculation:
E_form (uncorrected) ... -588 meV per atom
SG ... No. 14
Crystal system ... monoclinic

# 3
Computed, not measured: an optimized crystal structure of In2Co2Cu at the PBE level of DFT.

The structure in extended XYZ format:
```
10
Lattice="-3.047 0.196 3.179 -3.131 -3.866 -1.407 2.948 -6.090 3.498" Properties=species:S:1:pos:R:3 pbc="T T T"
In 1.516 -6.039 3.602
In -1.426 -2.790 1.337
In -4.746 -3.721 1.668
In -1.803 -6.970 3.933
Co -2.715 -5.001 0.674
Co 0.823 -3.507 2.650
Co -0.515 -4.759 4.596
Co -4.053 -6.253 2.620
Cu -2.564 -4.248 3.267
Cu -0.666 -5.512 2.003
```

Values from the calculation:
Energy relative to the elements ... 0.170 eV per atom
SG ... No. 2
Crystal system ... triclinic